Entry 1:
Entry from Alexandria: an optimized crystal structure of CoTe (GGA-PBE).

Calculated values
The density of states at the Fermi level comes out at 3.63 states/eV per cell. Its space group is P6_3/mmc. Its formation energy from raw total energies is -0.059 eV/atom. Its crystal system is hexagonal. The calculation puts the magnetic moment at 0.00 μB per formula unit.

Cell lengths 3.9123, 3.9123, 5.2886 Å; angles 90.00, 90.00, 120.00 degrees
Fractional positions:
1 Te 0.6667 0.3333 0.2500
2 Te 0.3333 0.6667 0.7500
3 Co 0.0000 0.0000 0.0000
4 Co 0.0000 0.0000 0.5000

Entry 2:
Entry from Alexandria: an optimized crystal structure of CoTe (GGA-PBE).

Calculated values
The density of states at the Fermi level comes out at 7.66 states/eV per cell. Its space group is I-43m. Its formation energy from raw total energies is 0.019 eV/atom. Its crystal system is cubic. The calculation puts the magnetic moment at 0.00 μB per formula unit.

Cell lengths 7.4650, 7.4650, 7.4650 Å; angles 90.00, 90.00, 90.00 degrees
Fractional positions:
1 Co 0.1242 0.1242 0.1242
2 Co 0.1242 0.8758 0.8758
3 Co 0.8758 0.1242 0.8758
4 Co 0.8758 0.8758 0.1242
5 Co 0.6242 0.6242 0.6242
6 Co 0.6242 0.3758 0.3758
7 Co 0.3758 0.6242 0.3758
8 Co 0.3758 0.3758 0.6242
9 Te 0.3080 0.3080 0.3080
10 Te 0.3080 0.6921 0.6921
11 Te 0.6921 0.3080 0.6921
12 Te 0.6921 0.6921 0.3080
13 Te 0.8079 0.8079 0.8079
14 Te 0.8079 0.1920 0.1920
15 Te 0.1920 0.8079 0.1920
16 Te 0.1920 0.1920 0.8079

What did the second record say?
Entry from Alexandria: an optimized crystal structure of CoTe (GGA-PBE).

Calculated values
The density of states at the Fermi level comes out at 7.66 states/eV per cell. Its space group is I-43m. Its formation energy from raw total energies is 0.019 eV/atom. Its crystal system is cubic. The calculation puts the magnetic moment at 0.00 μB per formula unit.

Cell lengths 7.4650, 7.4650, 7.4650 Å; angles 90.00, 90.00, 90.00 degrees
Fractional positions:
1 Co 0.1242 0.1242 0.1242
2 Co 0.1242 0.8758 0.8758
3 Co 0.8758 0.1242 0.8758
4 Co 0.8758 0.8758 0.1242
5 Co 0.6242 0.6242 0.6242
6 Co 0.6242 0.3758 0.3758
7 Co 0.3758 0.6242 0.3758
8 Co 0.3758 0.3758 0.6242
9 Te 0.3080 0.3080 0.3080
10 Te 0.3080 0.6921 0.6921
11 Te 0.6921 0.3080 0.6921
12 Te 0.6921 0.6921 0.3080
13 Te 0.8079 0.8079 0.8079
14 Te 0.8079 0.1920 0.1920
15 Te 0.1920 0.8079 0.1920
16 Te 0.1920 0.1920 0.8079

Q: Which formula does entry 1 have?
A: CoTe

Q: formation energy from raw total energies of number 2 (CoTe)?
A: 0.019 eV/atom